This record from the Alexandria database describes Dy2HoTm6 after structural relaxation. The functional is GGA-PBE.

a b c (Å): 4.951 10.486 10.487
angles (deg): 90.00 90.00 90.00
Fractional coordinates of all 18 atoms:
Dy1 0.000 0.333 0.833
Dy2 0.500 0.833 0.667
Dy3 0.500 0.167 0.333
Dy4 0.000 0.667 0.167
Ho1 0.500 0.500 0.000
Ho2 0.000 0.000 0.500
Tm1 0.000 0.000 0.166
Tm2 0.000 0.666 0.500
Tm3 0.000 0.667 0.833
Tm4 0.500 0.167 0.667
Tm5 0.500 0.166 0.000
Tm6 0.500 0.500 0.334
Tm7 0.000 0.000 0.834
Tm8 0.000 0.334 0.500
Tm9 0.000 0.333 0.167
Tm10 0.500 0.833 0.333
Tm11 0.500 0.834 0.000
Tm12 0.500 0.500 0.666

Calculated density = 9.17 g/cm³
Symmetry = P4_2/mnm (136)
DOS at the Fermi energy = 22.89 states/eV per cell
E above lowest polymorph = 0 meV/atom
ΔE_f = 25 meV per atom